Density functional theory data (PBE) for a relaxed structure of Tb7Y3Er.

Cell lengths 7.021, 5.542, 9.883 Å; angles 90.00, 110.37, 90.00 degrees
Positions (direct):
Tb1 0.000 0.000 0.000
Tb2 0.147 0.500 0.293
Tb3 0.322 0.500 0.641
Tb4 0.418 0.000 0.830
Tb5 0.582 0.000 0.170
Tb6 0.678 0.500 0.359
Tb7 0.853 0.500 0.707
Y1 0.000 0.000 0.500
Y2 0.279 0.500 0.999
Y3 0.721 0.500 0.001
Er1 0.500 0.000 0.500

Results
Distance to the lowest polymorph of the same formula   0.0 meV per atom
SG   P2/m (10)
V   360.5 Å³/f.u.
Magnetic moment   0.000 μB per cell
Energy of formation from the pure elements   0.145 eV/atom

***

Density functional theory data (PBE) for a relaxed structure of Tb8YEr4.

Cell lengths 10.070, 10.070, 10.070 Å; angles 42.14, 42.14, 42.14 degrees
Positions (direct):
Tb1 0.199 0.751 0.751
Tb2 0.215 0.215 0.215
Tb3 0.249 0.249 0.801
Tb4 0.249 0.801 0.249
Tb5 0.751 0.199 0.751
Tb6 0.751 0.751 0.199
Tb7 0.785 0.785 0.785
Tb8 0.801 0.249 0.249
Y1 0.500 0.500 0.500
Er1 0.000 0.000 0.000
Er2 0.000 0.500 0.500
Er3 0.500 0.000 0.500
Er4 0.500 0.500 0.000

Results
SG   R-3m (166)
V   415.8 Å³/f.u.
Magnetic moment   0.000 μB per cell
Energy of formation from the pure elements   0.218 eV/atom

***

Density functional theory data (PBE) for a relaxed structure of Tb2Y3Er.

Cell lengths 9.417, 9.417, 6.154 Å; angles 90.06, 90.06, 44.40 degrees
Positions (direct):
Tb1 0.041 0.291 0.417
Tb2 0.291 0.041 0.917
Tb3 0.709 0.959 0.083
Tb4 0.959 0.709 0.583
Y1 0.125 0.875 0.250
Y2 0.209 0.459 0.083
Y3 0.459 0.209 0.583
Y4 0.541 0.791 0.417
Y5 0.791 0.541 0.917
Y6 0.875 0.125 0.750
Er1 0.375 0.625 0.750
Er2 0.625 0.375 0.250

Results
Distance to the lowest polymorph of the same formula   0.0 meV per atom
SG   C2/c (15)
V   190.9 Å³/f.u.
Magnetic moment   0.000 μB per cell
Energy of formation from the pure elements   0.023 eV/atom

***

Density functional theory data (PBE) for a relaxed structure of Tb2Y5Er.

Cell lengths 6.584, 6.584, 15.820 Å; angles 90.00, 90.00, 130.29 degrees
Positions (direct):
Tb1 0.220 0.780 0.631
Tb2 0.220 0.780 0.869
Tb3 0.780 0.220 0.131
Tb4 0.780 0.220 0.369
Y1 0.079 0.921 0.094
Y2 0.079 0.921 0.406
Y3 0.381 0.619 0.049
Y4 0.381 0.619 0.451
Y5 0.458 0.542 0.750
Y6 0.542 0.458 0.250
Y7 0.619 0.381 0.549
Y8 0.619 0.381 0.951
Y9 0.921 0.079 0.594
Y10 0.921 0.079 0.906
Er1 0.268 0.732 0.250
Er2 0.732 0.268 0.750

Results
Distance to the lowest polymorph of the same formula   0.0 meV per atom
SG   Cmcm (63)
V   261.6 Å³/f.u.
Magnetic moment   0.000 μB per cell
Energy of formation from the pure elements   0.135 eV/atom

***

Density functional theory data (PBE) for a relaxed structure of Tb2YEr8.

Cell lengths 9.415, 9.415, 5.861 Å; angles 106.79, 106.79, 122.53 degrees
Positions (direct):
Tb1 0.190 0.810 0.000
Tb2 0.810 0.190 0.000
Y1 0.500 0.500 0.500
Er1 0.050 0.050 0.285
Er2 0.153 0.402 0.799
Er3 0.297 0.703 0.500
Er4 0.402 0.153 0.799
Er5 0.598 0.847 0.201
Er6 0.703 0.297 0.500
Er7 0.847 0.598 0.201
Er8 0.950 0.950 0.715

Results
Distance to the lowest polymorph of the same formula   37.5 meV per atom
SG   C2/m (12)
V   350.1 Å³/f.u.
Magnetic moment   0.000 μB per cell
Energy of formation from the pure elements   0.157 eV/atom

***

Density functional theory data (PBE) for a relaxed structure of Tb6Y16Er7.

Cell lengths 11.128, 11.128, 11.128 Å; angles 60.00, 60.00, 60.00 degrees
Positions (direct):
Tb1 0.221 0.221 0.779
Tb2 0.221 0.779 0.221
Tb3 0.221 0.779 0.779
Tb4 0.779 0.221 0.221
Tb5 0.779 0.221 0.779
Tb6 0.779 0.779 0.221
Y1 0.135 0.622 0.622
Y2 0.152 0.152 0.152
Y3 0.152 0.152 0.543
Y4 0.152 0.543 0.152
Y5 0.378 0.378 0.378
Y6 0.378 0.378 0.865
Y7 0.378 0.865 0.378
Y8 0.457 0.848 0.848
Y9 0.543 0.152 0.152
Y10 0.622 0.135 0.622
Y11 0.622 0.622 0.135
Y12 0.622 0.622 0.622
Y13 0.848 0.457 0.848
Y14 0.848 0.848 0.457
Y15 0.848 0.848 0.848
Y16 0.865 0.378 0.378
Er1 0.000 0.000 0.500
Er2 0.000 0.500 0.000
Er3 0.000 0.500 0.500
Er4 0.500 0.000 0.000
Er5 0.500 0.000 0.500
Er6 0.500 0.500 0.000
Er7 0.500 0.500 0.500

Results
SG   Fm-3m (225)
V   974.4 Å³/f.u.
Magnetic moment   4.636 μB per cell
Energy of formation from the pure elements   0.245 eV/atom

***

Density functional theory data (PBE) for a relaxed structure of Tb7Y2Er3.

Cell lengths 5.675, 3.591, 19.071 Å; angles 90.00, 98.55, 90.00 degrees
Positions (direct):
Tb1 0.000 0.000 0.000
Tb2 0.093 0.500 0.185
Tb3 0.269 0.500 0.537
Tb4 0.428 0.000 0.857
Tb5 0.572 0.000 0.143
Tb6 0.731 0.500 0.463
Tb7 0.907 0.500 0.815
Y1 0.351 0.500 0.704
Y2 0.649 0.500 0.296
Er1 0.186 0.000 0.371
Er2 0.500 0.500 0.000
Er3 0.814 0.000 0.629

Results
Distance to the lowest polymorph of the same formula   87.7 meV per atom
SG   P2/m (10)
V   384.3 Å³/f.u.
Magnetic moment   0.000 μB per cell
Energy of formation from the pure elements   0.108 eV/atom

***

Density functional theory data (PBE) for a relaxed structure of Tb8Y3Er2.

Cell lengths 10.764, 10.764, 5.628 Å; angles 90.02, 90.02, 41.61 degrees
Positions (direct):
Tb1 0.101 0.682 0.000
Tb2 0.169 0.169 0.501
Tb3 0.318 0.899 0.000
Tb4 0.366 0.366 0.500
Tb5 0.634 0.634 0.500
Tb6 0.682 0.101 0.000
Tb7 0.831 0.831 0.499
Tb8 0.899 0.318 0.000
Y1 0.215 0.785 0.500
Y2 0.500 0.500 0.000
Y3 0.785 0.215 0.500
Er1 0.259 0.259 0.001
Er2 0.741 0.741 0.999

Results
SG   C2/m (12)
V   432.9 Å³/f.u.
Magnetic moment   0.000 μB per cell
Energy of formation from the pure elements   0.229 eV/atom

***

Density functional theory data (PBE) for a relaxed structure of Tb8Y3Er4.

Cell lengths 9.229, 9.229, 6.727 Å; angles 111.15, 111.15, 87.35 degrees
Positions (direct):
Tb1 0.143 0.857 0.000
Tb2 0.229 0.229 0.435
Tb3 0.242 0.242 0.972
Tb4 0.251 0.749 0.500
Tb5 0.749 0.251 0.500
Tb6 0.758 0.758 0.028
Tb7 0.771 0.771 0.565
Tb8 0.857 0.143 0.000
Y1 0.000 0.000 0.500
Y2 0.000 0.500 0.500
Y3 0.500 0.000 0.500
Er1 0.000 0.500 0.000
Er2 0.500 0.000 0.000
Er3 0.500 0.500 0.000
Er4 0.500 0.500 0.500

Results
SG   C2/m (12)
V   496.0 Å³/f.u.
Magnetic moment   0.000 μB per cell
Energy of formation from the pure elements   0.404 eV/atom

***

Density functional theory data (PBE) for a relaxed structure of TbY3Er2.

Cell lengths 9.391, 9.391, 6.141 Å; angles 90.01, 90.01, 44.39 degrees
Positions (direct):
Tb1 0.125 0.875 0.750
Tb2 0.875 0.125 0.250
Y1 0.042 0.292 0.917
Y2 0.292 0.042 0.417
Y3 0.375 0.625 0.250
Y4 0.625 0.375 0.750
Y5 0.708 0.958 0.583
Y6 0.958 0.708 0.083
Er1 0.208 0.458 0.583
Er2 0.458 0.208 0.083
Er3 0.542 0.792 0.917
Er4 0.792 0.542 0.417

Results
Distance to the lowest polymorph of the same formula   0.0 meV per atom
SG   C2/c (15)
V   189.5 Å³/f.u.
Magnetic moment   0.002 μB per cell
Energy of formation from the pure elements   0.025 eV/atom

***

Density functional theory data (PBE) for a relaxed structure of Tb7Y3Er.

Cell lengths 8.430, 8.430, 5.807 Å; angles 110.11, 110.11, 82.76 degrees
Positions (direct):
Tb1 0.000 0.000 0.000
Tb2 0.098 0.510 0.304
Tb3 0.289 0.289 0.790
Tb4 0.490 0.902 0.696
Tb5 0.510 0.098 0.304
Tb6 0.711 0.711 0.210
Tb7 0.902 0.490 0.696
Y1 0.294 0.706 0.000
Y2 0.500 0.500 0.500
Y3 0.706 0.294 0.000
Er1 0.000 0.000 0.500

Results
Distance to the lowest polymorph of the same formula   123.1 meV per atom
SG   C2/m (12)
V   363.9 Å³/f.u.
Magnetic moment   0.354 μB per cell
Energy of formation from the pure elements   0.268 eV/atom

***

Density functional theory data (PBE) for a relaxed structure of TbY2Er5.

Cell lengths 7.060, 14.122, 4.983 Å; angles 90.00, 90.00, 90.00 degrees
Positions (direct):
Tb1 0.000 0.000 0.000
Tb2 0.500 0.500 0.000
Y1 0.250 0.125 0.500
Y2 0.250 0.625 0.500
Y3 0.750 0.375 0.500
Y4 0.750 0.875 0.500
Er1 0.000 0.250 0.000
Er2 0.000 0.500 0.000
Er3 0.000 0.750 0.000
Er4 0.250 0.375 0.500
Er5 0.250 0.875 0.500
Er6 0.500 0.000 0.000
Er7 0.500 0.250 0.000
Er8 0.500 0.750 0.000
Er9 0.750 0.125 0.500
Er10 0.750 0.625 0.500

Results
Distance to the lowest polymorph of the same formula   0.0 meV per atom
SG   Pbam (55)
V   248.4 Å³/f.u.
Magnetic moment   0.000 μB per cell
Energy of formation from the pure elements   0.021 eV/atom

***

Density functional theory data (PBE) for a relaxed structure of TbYEr14.

Cell lengths 11.030, 6.873, 6.873 Å; angles 71.85, 90.00, 90.00 degrees
Positions (direct):
Tb1 0.000 0.000 0.000
Y1 0.000 0.551 0.551
Er1 0.000 0.068 0.478
Er2 0.000 0.478 0.068
Er3 0.233 0.758 0.758
Er4 0.252 0.270 0.689
Er5 0.252 0.689 0.270
Er6 0.268 0.202 0.202
Er7 0.500 0.409 0.409
Er8 0.500 0.483 0.893
Er9 0.500 0.893 0.483
Er10 0.500 0.961 0.961
Er11 0.732 0.202 0.202
Er12 0.748 0.270 0.689
Er13 0.748 0.689 0.270
Er14 0.767 0.758 0.758

Results
SG   Amm2 (38)
V   495.1 Å³/f.u.
Magnetic moment   0.000 μB per cell
Energy of formation from the pure elements   0.061 eV/atom

***

Density functional theory data (PBE) for a relaxed structure of Tb2YEr.

Cell lengths 6.709, 6.709, 6.709 Å; angles 148.61, 65.40, 124.24 degrees
Positions (direct):
Tb1 0.249 0.000 0.249
Tb2 0.751 0.000 0.751
Y1 0.333 0.333 0.000
Er1 0.832 0.332 0.500

Results
Distance to the lowest polymorph of the same formula   0.0 meV per atom
SG   Imm2 (44)
V   128.6 Å³/f.u.
Magnetic moment   0.001 μB per cell
Energy of formation from the pure elements   0.008 eV/atom

***

Density functional theory data (PBE) for a relaxed structure of Tb2YEr9.

Cell lengths 4.981, 4.981, 14.937 Å; angles 90.00, 90.00, 90.00 degrees
Positions (direct):
Tb1 0.000 0.000 0.167
Tb2 0.000 0.000 0.833
Y1 0.000 0.000 0.500
Er1 0.000 0.500 0.000
Er2 0.000 0.500 0.333
Er3 0.000 0.500 0.667
Er4 0.500 0.000 0.000
Er5 0.500 0.000 0.333
Er6 0.500 0.000 0.667
Er7 0.500 0.500 0.166
Er8 0.500 0.500 0.500
Er9 0.500 0.500 0.834

Results
Distance to the lowest polymorph of the same formula   0.0 meV per atom
SG   P4/mmm (123)
V   370.6 Å³/f.u.
Magnetic moment   0.003 μB per cell
Energy of formation from the pure elements   0.024 eV/atom

***

Density functional theory data (PBE) for a relaxed structure of TbY2Er.

Cell lengths 3.582, 3.582, 11.633 Å; angles 98.81, 98.81, 60.03 degrees
Positions (direct):
Tb1 0.000 0.000 0.000
Y1 0.250 0.250 0.751
Y2 0.833 0.833 0.498
Er1 0.416 0.416 0.248

Results
Distance to the lowest polymorph of the same formula   8.6 meV per atom
SG   Cm (8)
V   127.2 Å³/f.u.
Magnetic moment   0.002 μB per cell
Energy of formation from the pure elements   0.012 eV/atom

***

Density functional theory data (PBE) for a relaxed structure of Tb2Y5Er12.

Cell lengths 6.116, 9.347, 10.585 Å; angles 100.99, 95.55, 90.09 degrees
Positions (direct):
Tb1 0.080 0.317 0.473
Tb2 0.920 0.683 0.527
Y1 0.237 0.947 0.420
Y2 0.341 0.369 0.053
Y3 0.500 0.000 0.000
Y4 0.659 0.631 0.947
Y5 0.763 0.053 0.580
Er1 0.025 0.105 0.158
Er2 0.131 0.526 0.789
Er3 0.183 0.737 0.105
Er4 0.290 0.159 0.737
Er5 0.395 0.579 0.369
Er6 0.446 0.789 0.684
Er7 0.554 0.211 0.316
Er8 0.605 0.421 0.631
Er9 0.710 0.841 0.263
Er10 0.817 0.263 0.895
Er11 0.869 0.474 0.211
Er12 0.975 0.895 0.842

Results
Distance to the lowest polymorph of the same formula   0.0 meV per atom
SG   P-1 (2)
V   591.1 Å³/f.u.
Magnetic moment   0.001 μB per cell
Energy of formation from the pure elements   0.025 eV/atom

***

Density functional theory data (PBE) for a relaxed structure of Tb2Y3Er3.

Cell lengths 8.513, 8.513, 5.994 Å; angles 110.26, 110.26, 39.16 degrees
Positions (direct):
Tb1 0.250 0.250 0.184
Tb2 0.750 0.750 0.816
Y1 0.000 0.000 0.000
Y2 0.131 0.131 0.576
Y3 0.869 0.869 0.424
Er1 0.370 0.370 0.816
Er2 0.500 0.500 0.500
Er3 0.630 0.630 0.184

Results
Distance to the lowest polymorph of the same formula   0.0 meV per atom
SG   C2/m (12)
V   255.1 Å³/f.u.
Magnetic moment   0.000 μB per cell
Energy of formation from the pure elements   0.100 eV/atom

***

Density functional theory data (PBE) for a relaxed structure of Tb2Y3Er6Zr.

Cell lengths 6.061, 6.061, 11.601 Å; angles 94.97, 94.97, 119.92 degrees
Positions (direct):
Tb1 0.167 0.833 0.000
Tb2 0.833 0.167 0.000
Y1 0.000 0.000 0.500
Y2 0.333 0.667 0.500
Y3 0.667 0.333 0.500
Er1 0.092 0.419 0.756
Er2 0.255 0.255 0.244
Er3 0.419 0.092 0.756
Er4 0.581 0.908 0.244
Er5 0.745 0.745 0.756
Er6 0.908 0.581 0.244
Zr1 0.500 0.500 0.000

Results
SG   C2/m (12)
V   363.7 Å³/f.u.
Magnetic moment   0.000 μB per cell
Energy of formation from the pure elements   0.047 eV/atom

***

Density functional theory data (PBE) for a relaxed structure of Tb2ErZn5.

Cell lengths 7.840, 7.840, 7.840 Å; angles 144.32, 144.32, 51.35 degrees
Positions (direct):
Tb1 0.234 0.234 0.000
Tb2 0.766 0.766 0.000
Er1 0.500 0.500 0.000
Zn1 0.000 0.000 0.000
Zn2 0.113 0.613 0.500
Zn3 0.387 0.887 0.500
Zn4 0.613 0.113 0.500
Zn5 0.887 0.387 0.500

Results
SG   I4/mmm (139)
V   163.1 Å³/f.u.
Magnetic moment   0.000 μB per cell
Energy of formation from the pure elements   -0.309 eV/atom